#1
Material: ZrCdBr3
Method: DFT, PBE-GGA
State: relaxed

Summary:
Theoretical density (kg/m3): 4533

POSCAR file:
```
ZrCdBr3
1.0
5.456 0.000 0.000
0.000 5.456 0.000
0.000 0.000 5.456
Br Zr Cd
3 1 1
Cartesian
2.728 0.000 0.000
0.000 2.728 0.000
0.000 0.000 2.728
2.728 2.728 2.728
0.000 0.000 0.000
```

---

#2
Material: ZrCdBr3
Method: DFT, PBE-GGA
State: relaxed

Summary:
Theoretical density (kg/m3): 4694

POSCAR file:
```
ZrCdBr3
1.0
5.393 0.000 0.000
0.000 5.393 0.000
0.000 0.000 5.393
Cd Br Zr
1 3 1
Cartesian
2.696 2.696 2.696
2.696 0.000 0.000
0.000 0.000 2.696
0.000 2.696 0.000
0.000 0.000 0.000
```

---

Referenced to the most stable arrangement, the calculated values in meV per atom are #1 841; #2 0.

---

#1
Material: ZrCdBr
Method: DFT, PBE-GGA
State: relaxed

Summary:
Theoretical density (kg/m3): 6261

POSCAR file:
```
ZrCdBr
1.0
-0.996 2.916 3.599
-4.122 -0.399 2.301
-0.085 -1.657 4.438
Br Cd Zr
1 1 1
Cartesian
-3.902 0.645 7.753
0.000 0.000 0.000
-2.602 0.430 5.169
```

---

#2
Material: ZrCdBr
Method: DFT, PBE-GGA
State: relaxed

Summary:
Theoretical density (kg/m3): 6750

POSCAR file:
```
ZrCdBr
1.0
4.809 0.000 0.000
-2.405 4.165 0.000
0.000 0.000 3.482
Cd Zr Br
1 1 1
Cartesian
0.000 2.777 1.161
2.405 1.388 2.902
0.000 0.000 2.901
```

---

#3
Material: ZrCdBr
Method: DFT, PBE-GGA
State: relaxed

Summary:
Theoretical density (kg/m3): 5977

POSCAR file:
```
ZrCdBr
1.0
3.386 0.000 0.000
-1.693 2.932 0.000
0.000 0.000 15.869
Zr Cd Br
2 2 2
Cartesian
1.693 0.655 5.448
1.693 0.655 10.421
1.693 0.637 0.000
0.000 1.630 7.935
0.000 1.632 12.349
0.000 1.632 3.520
```

---

Referenced to the most stable arrangement, the calculated values in meV per atom are #1 866; #2 408; #3 0.

---

#1
Material: ZrCdBr
Method: DFT, PBE-GGA
State: relaxed

Summary:
Theoretical density (kg/m3): 5883

POSCAR file:
```
ZrCdBr
1.0
7.823 -0.002 0.002
7.137 3.198 0.003
0.686 0.137 3.197
Br Zr Cd
1 1 1
Cartesian
14.332 3.062 0.146
5.555 1.181 2.108
10.719 2.287 0.954
```

---

#2
Material: ZrCdBr
Method: DFT, PBE-GGA
State: relaxed

Summary:
Theoretical density (kg/m3): 5929

POSCAR file:
```
ZrCdBr
1.0
-2.150 0.996 4.203
-3.453 -2.913 1.694
0.855 -2.763 3.861
Zr Br Cd
1 1 1
Cartesian
-3.561 -3.510 7.319
0.000 0.000 0.000
-2.374 -2.340 4.879
```

---

Referenced to the most stable arrangement, the calculated values in meV per atom are #1 0; #2 686.

---

#1
Material: Zr2CdBr2
Method: DFT, PBE-GGA
State: relaxed

Summary:
Theoretical density (kg/m3): 4562

POSCAR file:
```
Zr2CdBr2
1.0
4.089 0.000 0.000
0.000 4.089 0.000
2.045 2.045 9.897
Br Zr Cd
2 2 1
Cartesian
4.089 4.089 6.949
2.045 2.045 2.948
4.089 2.045 4.949
2.045 4.089 4.949
0.000 0.000 0.000
```

---

#2
Material: Zr2CdBr2
Method: DFT, PBE-GGA
State: relaxed

Summary:
Theoretical density (kg/m3): 6892

POSCAR file:
```
Zr2CdBr2
1.0
-0.738 -0.998 8.255
8.290 0.559 0.808
-0.245 3.114 0.355
Br Zr Cd
4 4 2
Cartesian
4.560 -0.520 7.708
6.957 0.116 3.779
2.992 0.081 1.355
0.595 -0.555 5.285
1.056 1.325 3.028
5.317 1.761 2.135
1.991 0.914 7.283
6.251 1.350 6.390
3.776 -0.220 4.532
0.000 0.000 0.000
```

---

Referenced to the most stable arrangement, the calculated values in meV per atom are #1 0; #2 244.